VASP calculation (PBE) on a relaxed structure of Er4GaTc.

It has space group C2/c (No. 15), with a = 8.850 Å, b = 12.959 Å, c = 6.171 Å, α = 90.00°, β = 118.70° and γ = 90.00°. The asymmetric unit holds Er at (0.117, 0.174, 0.081), Er at (0.211, 0.431, 0.308), Ga at (0.000, 0.370, 0.750) and Tc at (0.000, 0.000, 0.250).

As for the magnetic moment: 0.00 μB/cell. As for the formation energy: -0.2773 eV per atom. The calculation puts the density at 8.953 Mg/m³. For the density of states at the Fermi level, the calculation gives 24.6 states/eV per cell.

---

VASP calculation (PBE) on a relaxed structure of ErGa4Tc.

It has space group Immm (No. 71), with a = 4.718 Å, b = 5.871 Å, c = 7.555 Å, α = 90.00°, β = 90.00° and γ = 90.00°. The asymmetric unit holds Er at (0.000, 0.000, 0.000), Ga at (0.000, 0.228, 0.335) and Tc at (0.000, 0.500, 0.000).

As for the magnetic moment: 0.00 μB/cell. As for the formation energy: -0.1401 eV per atom. The calculation puts the density at 8.636 Mg/m³. For the density of states at the Fermi level, the calculation gives 6.9 states/eV per cell.

---

VASP calculation (PBE) on a relaxed structure of Er5Ga2Tc.

It has space group Pbam (No. 55), with a = 6.494 Å, b = 12.204 Å, c = 4.818 Å, α = 90.00°, β = 90.00° and γ = 90.00°. The asymmetric unit holds Er at (0.000, 0.000, 0.000), Er at (0.127, 0.283, 0.000), Er at (0.172, 0.598, 0.500), Ga at (0.124, 0.849, 0.500) and Tc at (0.000, 0.500, 0.000).

As for the magnetic moment: 0.00 μB/cell. As for the formation energy: -0.3489 eV per atom. The calculation puts the density at 9.340 Mg/m³. For the density of states at the Fermi level, the calculation gives 11.2 states/eV per cell.

---

VASP calculation (PBE) on a relaxed structure of Er6GaTc2.

It has space group Immm (No. 71), with a = 9.305 Å, b = 9.383 Å, c = 10.270 Å, α = 90.00°, β = 90.00° and γ = 90.00°. The asymmetric unit holds Er at (0.000, 0.187, 0.166), Er at (0.183, 0.226, 0.500), Er at (0.197, 0.500, 0.251), Ga at (0.000, 0.500, 0.000), Ga at (0.000, 0.500, 0.500), Tc at (0.000, 0.000, 0.384) and Tc at (0.181, 0.000, 0.000).

As for the magnetic moment: 0.00 μB/cell. As for the formation energy: -0.2247 eV per atom. The calculation puts the density at 9.403 Mg/m³. For the density of states at the Fermi level, the calculation gives 34.5 states/eV per cell.

---

VASP calculation (PBE) on a relaxed structure of Er4Ga12Tc.

It has space group Im-3m (No. 229), with a = 8.598 Å, b = 8.598 Å, c = 8.598 Å, α = 90.00°, β = 90.00° and γ = 90.00°. The asymmetric unit holds Er at (0.250, 0.250, 0.250), Ga at (0.000, 0.000, 0.291), Ga at (0.000, 0.250, 0.500) and Tc at (0.000, 0.000, 0.000).

As for the magnetic moment: 0.00 μB/cell. As for the formation energy: -0.5227 eV per atom. The calculation puts the density at 8.381 Mg/m³. For the density of states at the Fermi level, the calculation gives 20.8 states/eV per cell.

---

VASP calculation (PBE) on a relaxed structure of Er2Ga8Tc.

It has space group P4/mmm (No. 123), with a = 4.259 Å, b = 4.259 Å, c = 11.345 Å, α = 90.00°, β = 90.00° and γ = 90.00°. The asymmetric unit holds Er at (0.000, 0.000, 0.189), Ga at (0.000, 0.500, 0.000), Ga at (0.000, 0.500, 0.376), Ga at (0.500, 0.500, 0.190) and Tc at (0.000, 0.000, 0.500).

As for the magnetic moment: 0.00 μB/cell. As for the formation energy: -0.4223 eV per atom. The calculation puts the density at 7.992 Mg/m³. For the density of states at the Fermi level, the calculation gives 4.2 states/eV per cell.